# 1
{"formula": "Ba3Al2Ge3", "functional": "PBE", "state": "optimized geometry", "e_above_lowest_polymorph_ev_per_atom": 0.000, "formation_energy_ev_per_atom": -0.485, "crystal_system": "orthorhombic", "density_g_cm3": 4.8, "sg": "Cmcm (63)", "dft_energy_ev_per_cell": -61.97, "lattice": [[2.332, -6.533, 0.000], [2.332, 6.533, 0.000], [0.000, 0.000, 15.458]], "species": ["Ba", "Ba", "Ba", "Ba", "Ba", "Ba", "Al", "Al", "Al", "Al", "Ge", "Ge", "Ge", "Ge", "Ge", "Ge"], "fractional_positions": [[0.073, 0.927, 0.605], [0.073, 0.927, 0.895], [0.356, 0.644, 0.750], [0.644, 0.356, 0.250], [0.927, 0.073, 0.105], [0.927, 0.073, 0.395], [0.233, 0.767, 0.097], [0.233, 0.767, 0.403], [0.767, 0.233, 0.597], [0.767, 0.233, 0.903], [0.334, 0.666, 0.250], [0.345, 0.655, 0.544], [0.345, 0.655, 0.956], [0.655, 0.345, 0.044], [0.655, 0.345, 0.456], [0.666, 0.334, 0.750]]}



# 2
{"formula": "KRePb2", "functional": "PBE", "state": "optimized geometry", "e_above_lowest_polymorph_ev_per_atom": 0.611, "formation_energy_ev_per_atom": 1.090, "crystal_system": "monoclinic", "density_g_cm3": 10.4, "sg": "P2/m (10)", "dft_energy_ev_per_cell": -16.60, "lattice": [[6.034, 0.000, 0.000], [0.000, 2.986, 0.000], [-2.848, 0.000, 5.664]], "species": ["K", "Re", "Pb", "Pb"], "fractional_positions": [[0.000, 0.000, 0.000], [0.500, 0.500, 0.500], [0.000, 0.000, 0.500], [0.500, 0.500, 0.000]]}



# 3
{"formula": "Rb2BiOsI6", "functional": "PBE", "state": "optimized geometry", "formation_energy_uncorrected_mev_per_atom": -401, "crystal_system": "tetragonal", "density_g_cm3": 5.3, "sg": "I4/mmm (139)", "dft_energy_ev_per_cell": -30.36, "lattice": [[-4.173, 4.173, 5.951], [4.173, -4.173, 5.951], [4.173, 4.173, -5.951]], "species": ["Rb", "Rb", "Bi", "Os", "I", "I", "I", "I", "I", "I"], "fractional_positions": [[0.250, 0.750, 0.500], [0.750, 0.250, 0.500], [0.000, 0.000, 0.000], [0.500, 0.500, 0.000], [0.268, 0.268, 0.535], [0.268, 0.732, 0.000], [0.269, 0.269, 0.000], [0.731, 0.731, 0.000], [0.732, 0.268, 0.000], [0.732, 0.732, 0.465]]}



# 4
{"formula": "Li2GePt2", "functional": "PBE", "state": "optimized geometry", "e_above_lowest_polymorph_ev_per_atom": 0.108, "formation_energy_ev_per_atom": -0.363, "crystal_system": "orthorhombic", "density_g_cm3": 10.3, "sg": "Ibam (72)", "dft_energy_ev_per_cell": -44.68, "lattice": [[-2.936, 5.074, 2.587], [2.936, -5.074, 2.587], [2.936, 5.074, -2.587]], "species": ["Li", "Li", "Li", "Li", "Ge", "Ge", "Pt", "Pt", "Pt", "Pt"], "fractional_positions": [[0.094, 0.132, 0.226], [0.406, 0.632, 0.038], [0.594, 0.368, 0.962], [0.906, 0.868, 0.774], [0.250, 0.750, 0.500], [0.750, 0.250, 0.500], [0.166, 0.714, 0.880], [0.334, 0.214, 0.548], [0.666, 0.786, 0.452], [0.834, 0.286, 0.120]]}



# 5
{"formula": "CaLa2CdRh", "functional": "PBE", "state": "optimized geometry", "e_above_lowest_polymorph_ev_per_atom": 0.000, "formation_energy_ev_per_atom": -0.350, "crystal_system": "tetragonal", "density_g_cm3": 5.2, "sg": "P4/mmm (123)", "dft_energy_ev_per_cell": -21.87, "lattice": [[5.486, 0.000, 0.000], [0.000, 5.486, 0.000], [0.000, 0.000, 5.645]], "species": ["Ca", "La", "La", "Cd", "Rh"], "fractional_positions": [[0.000, 0.000, 0.000], [0.000, 0.500, 0.500], [0.500, 0.000, 0.500], [0.500, 0.500, 0.000], [0.000, 0.000, 0.500]]}



# 6
{"formula": "LaTa4W", "functional": "PBE", "state": "optimized geometry", "formation_energy_ev_per_atom": 0.496, "crystal_system": "cubic", "density_g_cm3": 14.1, "sg": "F-43m (216)", "dft_energy_ev_per_cell": -62.31, "lattice": [[0.000, 3.949, 3.949], [3.949, 0.000, 3.949], [3.949, 3.949, 0.000]], "species": ["La", "Ta", "Ta", "Ta", "Ta", "W"], "fractional_positions": [[0.000, 0.000, 0.000], [0.125, 0.625, 0.625], [0.625, 0.125, 0.625], [0.625, 0.625, 0.125], [0.625, 0.625, 0.625], [0.250, 0.250, 0.250]]}



# 7
{"formula": "Na4S2F", "functional": "PBE", "state": "optimized geometry", "formation_energy_uncorrected_mev_per_atom": -1322, "crystal_system": "tetragonal", "density_g_cm3": 2.1, "sg": "I4/mmm (139)", "dft_energy_ev_per_cell": -24.66, "lattice": [[-2.263, 2.263, 6.881], [2.263, -2.263, 6.881], [2.263, 2.263, -6.881]], "species": ["Na", "Na", "Na", "Na", "S", "S", "F"], "fractional_positions": [[0.000, 0.500, 0.500], [0.170, 0.170, 0.000], [0.500, 0.000, 0.500], [0.830, 0.830, 0.000], [0.372, 0.372, 0.000], [0.628, 0.628, 0.000], [0.000, 0.000, 0.000]]}



# 8
{"formula": "LiAg2Cl", "functional": "PBE", "state": "optimized geometry", "e_above_lowest_polymorph_ev_per_atom": 0.000, "formation_energy_uncorrected_mev_per_atom": -570, "crystal_system": "monoclinic", "density_g_cm3": 5.2, "sg": "C2/m (12)", "dft_energy_ev_per_cell": -11.74, "lattice": [[7.162, -1.726, 0.000], [7.162, 1.726, 0.000], [-0.809, 0.000, 3.357]], "species": ["Li", "Ag", "Ag", "Cl"], "fractional_positions": [[0.000, 0.000, 0.000], [0.296, 0.296, 0.295], [0.704, 0.704, 0.705], [0.500, 0.500, 0.500]]}



# 9
{"formula": "Rb2TbMn2Se4", "functional": "PBE", "state": "optimized geometry", "formation_energy_uncorrected_mev_per_atom": -1090, "crystal_system": "monoclinic", "density_g_cm3": 4.9, "sg": "C2/m (12)", "dft_energy_ev_per_cell": -48.65, "lattice": [[7.786, -2.114, 0.000], [7.786, 2.114, 0.000], [-2.682, 0.000, 7.754]], "species": ["Rb", "Rb", "Tb", "Mn", "Mn", "Se", "Se", "Se", "Se"], "fractional_positions": [[0.132, 0.132, 0.054], [0.868, 0.868, 0.946], [0.000, 0.000, 0.500], [0.321, 0.321, 0.516], [0.679, 0.679, 0.484], [0.198, 0.198, 0.670], [0.480, 0.480, 0.729], [0.520, 0.520, 0.271], [0.802, 0.802, 0.330]]}



# 10
{"formula": "TlSnF7", "functional": "PBE", "state": "optimized geometry", "formation_energy_uncorrected_mev_per_atom": -2146, "crystal_system": "monoclinic", "density_g_cm3": 5.7, "sg": "P2_1/c (14)", "dft_energy_ev_per_cell": -155.14, "lattice": [[8.908, 0.000, 0.000], [0.000, 5.565, 0.000], [-5.588, 0.000, 10.721]], "species": ["Tl", "Tl", "Tl", "Tl", "Sn", "Sn", "Sn", "Sn", "F", "F", "F", "F", "F", "F", "F", "F", "F", "F", "F", "F", "F", "F", "F", "F", "F", "F", "F", "F", "F", "F", "F", "F", "F", "F", "F", "F"], "fractional_positions": [[0.186, 0.240, 0.264], [0.186, 0.260, 0.764], [0.814, 0.740, 0.236], [0.814, 0.760, 0.736], [0.271, 0.739, 0.043], [0.271, 0.761, 0.543], [0.729, 0.239, 0.457], [0.729, 0.261, 0.957], [0.019, 0.742, 0.951], [0.019, 0.758, 0.451], [0.036, 0.601, 0.728], [0.036, 0.899, 0.228], [0.264, 0.546, 0.182], [0.264, 0.954, 0.682], [0.267, 0.073, 0.456], [0.267, 0.427, 0.956], [0.281, 0.029, 0.143], [0.281, 0.471, 0.643], [0.293, 0.562, 0.414], [0.293, 0.938, 0.914], [0.477, 0.209, 0.365], [0.477, 0.291, 0.865], [0.523, 0.709, 0.135], [0.523, 0.791, 0.635], [0.707, 0.062, 0.086], [0.707, 0.438, 0.586], [0.719, 0.529, 0.357], [0.719, 0.971, 0.857], [0.733, 0.573, 0.044], [0.733, 0.927, 0.544], [0.736, 0.046, 0.318], [0.736, 0.454, 0.818], [0.964, 0.101, 0.772], [0.964, 0.399, 0.272], [0.981, 0.242, 0.549], [0.981, 0.258, 0.049]]}



# 11
{"formula": "RbNaTc2Cl", "functional": "PBE", "state": "optimized geometry", "formation_energy_uncorrected_mev_per_atom": 1515, "crystal_system": "tetragonal", "density_g_cm3": 3.5, "sg": "P4/mmm (123)", "dft_energy_ev_per_cell": -17.29, "lattice": [[5.266, 0.000, 0.000], [0.000, 5.266, 0.000], [0.000, 0.000, 5.873]], "species": ["Rb", "Na", "Tc", "Tc", "Cl"], "fractional_positions": [[0.000, 0.000, 0.000], [0.500, 0.500, 0.500], [0.000, 0.500, 0.500], [0.500, 0.000, 0.500], [0.500, 0.500, 0.000]]}



# 12
{"formula": "BeHg3O4", "functional": "PBE", "state": "optimized geometry", "formation_energy_uncorrected_mev_per_atom": -764, "crystal_system": "orthorhombic", "density_g_cm3": 9.5, "sg": "Pmn2_1 (31)", "dft_energy_ev_per_cell": -61.16, "lattice": [[6.810, 0.000, 0.000], [0.000, 6.058, 0.000], [0.000, 0.000, 5.690]], "species": ["Be", "Be", "Hg", "Hg", "Hg", "Hg", "Hg", "Hg", "O", "O", "O", "O", "O", "O", "O", "O"], "fractional_positions": [[0.000, 0.180, 0.000], [0.500, 0.820, 0.500], [0.000, 0.856, 0.503], [0.243, 0.674, 0.999], [0.257, 0.326, 0.499], [0.500, 0.144, 0.003], [0.743, 0.326, 0.499], [0.757, 0.674, 0.999], [0.000, 0.184, 0.710], [0.000, 0.923, 0.103], [0.203, 0.311, 0.096], [0.297, 0.689, 0.596], [0.500, 0.077, 0.603], [0.500, 0.816, 0.210], [0.703, 0.689, 0.596], [0.797, 0.311, 0.096]]}



# 13
{"formula": "CrRe3Ir", "functional": "PBE", "state": "optimized geometry", "e_above_lowest_polymorph_ev_per_atom": 0.000, "formation_energy_ev_per_atom": 1.607, "crystal_system": "cubic", "density_g_cm3": 15.9, "sg": "Pm-3m (221)", "dft_energy_ev_per_cell": -47.79, "lattice": [[4.377, 0.000, 0.000], [0.000, 4.377, 0.000], [0.000, 0.000, 4.377]], "species": ["Cr", "Re", "Re", "Re", "Ir"], "fractional_positions": [[0.000, 0.000, 0.000], [0.000, 0.000, 0.500], [0.000, 0.500, 0.000], [0.500, 0.000, 0.000], [0.500, 0.500, 0.500]]}



# 14
{"formula": "PmThSi2Pt4", "functional": "PBE", "state": "optimized geometry", "formation_energy_uncorrected_mev_per_atom": -982, "crystal_system": "tetragonal", "density_g_cm3": 12.6, "sg": "P4/mmm (123)", "dft_energy_ev_per_cell": -55.04, "lattice": [[4.118, 0.000, 0.000], [0.000, 4.118, 0.000], [0.000, 0.000, 9.418]], "species": ["Pm", "Th", "Si", "Si", "Pt", "Pt", "Pt", "Pt"], "fractional_positions": [[0.000, 0.000, 0.000], [0.000, 0.000, 0.500], [0.500, 0.500, 0.127], [0.500, 0.500, 0.873], [0.000, 0.500, 0.268], [0.000, 0.500, 0.732], [0.500, 0.000, 0.268], [0.500, 0.000, 0.732]]}



# 15
{"formula": "Cs5Cr2H12", "functional": "PBE", "state": "optimized geometry", "crystal_system": "monoclinic", "density_g_cm3": 3.3, "sg": "C2/m (12)", "dft_energy_ev_per_cell": -63.42, "lattice": [[6.062, -4.459, 0.000], [6.062, 4.459, 0.000], [-2.584, 0.000, 7.276]], "species": ["Cs", "Cs", "Cs", "Cs", "Cs", "Cr", "Cr", "H", "H", "H", "H", "H", "H", "H", "H", "H", "H", "H", "H"], "fractional_positions": [[0.000, 0.000, 0.000], [0.318, 0.318, 0.898], [0.331, 0.331, 0.421], [0.669, 0.669, 0.579], [0.682, 0.682, 0.102], [0.114, 0.886, 0.500], [0.886, 0.114, 0.500], [0.084, 0.734, 0.295], [0.090, 0.741, 0.619], [0.120, 0.120, 0.553], [0.259, 0.910, 0.381], [0.266, 0.916, 0.705], [0.499, 0.499, 0.766], [0.501, 0.501, 0.234], [0.734, 0.084, 0.295], [0.741, 0.090, 0.619], [0.880, 0.880, 0.447], [0.910, 0.259, 0.381], [0.916, 0.266, 0.705]]}



# 16
{"formula": "Nd3Tl2Zn2", "functional": "PBE", "state": "optimized geometry", "formation_energy_ev_per_atom": -0.354, "crystal_system": "orthorhombic", "density_g_cm3": 8.8, "sg": "Cmmm (65)", "dft_energy_ev_per_cell": -24.06, "lattice": [[2.252, -11.078, 0.000], [2.252, 11.078, 0.000], [0.000, 0.000, 3.695]], "species": ["Nd", "Nd", "Nd", "Tl", "Tl", "Zn", "Zn"], "fractional_positions": [[0.000, 0.000, 0.000], [0.165, 0.835, 0.000], [0.835, 0.165, 0.000], [0.418, 0.582, 0.500], [0.582, 0.418, 0.500], [0.280, 0.720, 0.500], [0.720, 0.280, 0.500]]}



# 17
{"formula": "VGa2Pt", "functional": "PBE", "state": "optimized geometry", "formation_energy_ev_per_atom": -0.376, "crystal_system": "tetragonal", "density_g_cm3": 10.8, "sg": "P4/mmm (123)", "dft_energy_ev_per_cell": -22.72, "lattice": [[4.082, 0.000, 0.000], [0.000, 4.082, 0.000], [0.000, 0.000, 3.571]], "species": ["V", "Ga", "Ga", "Pt"], "fractional_positions": [[0.000, 0.000, 0.000], [0.000, 0.500, 0.500], [0.500, 0.000, 0.500], [0.500, 0.500, 0.000]]}



# 18
{"formula": "ErZn3CuNi", "functional": "PBE", "state": "optimized geometry", "formation_energy_ev_per_atom": -0.103, "crystal_system": "orthorhombic", "density_g_cm3": 7.4, "sg": "Cmcm (63)", "dft_energy_ev_per_cell": -37.76, "lattice": [[3.998, -5.246, 0.000], [3.998, 5.246, 0.000], [0.000, 0.000, 5.165]], "species": ["Er", "Er", "Zn", "Zn", "Zn", "Zn", "Zn", "Zn", "Cu", "Cu", "Ni", "Ni"], "fractional_positions": [[0.187, 0.813, 0.750], [0.813, 0.187, 0.250], [0.244, 0.244, 0.000], [0.244, 0.244, 0.500], [0.317, 0.683, 0.250], [0.683, 0.317, 0.750], [0.756, 0.756, 0.000], [0.756, 0.756, 0.500], [0.451, 0.549, 0.750], [0.549, 0.451, 0.250], [0.080, 0.920, 0.250], [0.920, 0.080, 0.750]]}



# 19
{"formula": "Tb2ScBiC", "functional": "PBE", "state": "optimized geometry", "formation_energy_ev_per_atom": -0.562, "crystal_system": "tetragonal", "density_g_cm3": 8.6, "sg": "P4/mmm (123)", "dft_energy_ev_per_cell": -31.51, "lattice": [[4.970, 0.000, 0.000], [0.000, 4.970, 0.000], [0.000, 0.000, 4.588]], "species": ["Tb", "Tb", "Sc", "Bi", "C"], "fractional_positions": [[0.000, 0.500, 0.000], [0.500, 0.000, 0.000], [0.000, 0.000, 0.500], [0.500, 0.500, 0.500], [0.000, 0.000, 0.000]]}



# 20
{"formula": "AcNiPb2", "functional": "PBE", "state": "optimized geometry", "formation_energy_ev_per_atom": 0.014, "crystal_system": "tetragonal", "density_g_cm3": 11.0, "sg": "P4/mmm (123)", "dft_energy_ev_per_cell": -17.25, "lattice": [[3.617, 0.000, 0.000], [0.000, 3.617, 0.000], [0.000, 0.000, 8.074]], "species": ["Ac", "Ni", "Pb", "Pb"], "fractional_positions": [[0.000, 0.000, 0.000], [0.000, 0.000, 0.500], [0.500, 0.500, 0.309], [0.500, 0.500, 0.691]]}



# 21
{"formula": "Re2Pt", "functional": "PBE", "state": "optimized geometry", "e_above_lowest_polymorph_ev_per_atom": 0.240, "formation_energy_ev_per_atom": 0.153, "crystal_system": "hexagonal", "density_g_cm3": 20.6, "sg": "P6_3/mmc (194)", "dft_energy_ev_per_cell": -60.96, "lattice": [[4.394, 0.000, 0.000], [-2.197, 3.805, 0.000], [0.000, 0.000, 5.477]], "species": ["Re", "Re", "Re", "Re", "Pt", "Pt"], "fractional_positions": [[0.000, 0.000, 0.000], [0.000, 0.000, 0.500], [0.333, 0.667, 0.250], [0.667, 0.333, 0.750], [0.333, 0.667, 0.750], [0.667, 0.333, 0.250]]}



# 22
{"formula": "HfBeHg2", "functional": "PBE", "state": "optimized geometry", "formation_energy_ev_per_atom": 0.490, "crystal_system": "tetragonal", "density_g_cm3": 11.8, "sg": "I-42d (122)", "dft_energy_ev_per_cell": -24.65, "lattice": [[-2.063, 2.063, 9.704], [2.063, -2.063, 9.704], [2.063, 2.063, -9.704]], "species": ["Hf", "Hf", "Be", "Be", "Hg", "Hg", "Hg", "Hg"], "fractional_positions": [[0.000, 0.000, 0.000], [0.750, 0.250, 0.500], [0.250, 0.750, 0.500], [0.500, 0.500, 0.000], [0.143, 0.625, 0.018], [0.375, 0.393, 0.518], [0.607, 0.125, 0.982], [0.875, 0.857, 0.482]]}



# 23
{"formula": "Y6Te5Se", "functional": "PBE", "state": "optimized geometry", "formation_energy_uncorrected_mev_per_atom": -1400, "crystal_system": "monoclinic", "density_g_cm3": 6.0, "sg": "C2/m (12)", "dft_energy_ev_per_cell": -74.78, "lattice": [[3.751, -6.501, 0.000], [3.751, 6.501, 0.000], [-2.469, 0.000, 7.054]], "species": ["Y", "Y", "Y", "Y", "Y", "Y", "Te", "Te", "Te", "Te", "Te", "Se"], "fractional_positions": [[0.073, 0.377, 0.727], [0.220, 0.220, 0.260], [0.377, 0.073, 0.727], [0.623, 0.927, 0.273], [0.780, 0.780, 0.740], [0.927, 0.623, 0.273], [0.178, 0.822, 0.000], [0.336, 0.664, 0.500], [0.500, 0.500, 0.000], [0.664, 0.336, 0.500], [0.822, 0.178, 0.000], [0.000, 0.000, 0.500]]}